Here is a geometry-optimized K4Pa3MoN8 structure from the Alexandria database. Energies are from PBE.

Output
For the total DFT energy (no corrections), the calculation gives -7.794 eV/atom. The uncorrected formation energy comes out at -0.8999 eV/atom. The crystal system is trigonal. The calculation puts the density of states at the Fermi level at 2.1 states/eV/f.u.

Unit cell a=7.5671 b=7.5671 c=7.5671 alpha=54.88 beta=54.88 gamma=54.88
Closest atoms and distances in Å follow each position.
Positions (direct):
K  0.0000  0.0000  0.0000  6 N 3.02
K  0.0000  0.5000  0.5000  6 N 2.93
K  0.5000  0.0000  0.5000  6 N 2.93
K  0.5000  0.5000  0.0000  6 N 2.93
Pa  0.0000  0.0000  0.5000  6 N 2.28-2.31
Pa  0.0000  0.5000  0.0000  6 N 2.28-2.31
Pa  0.5000  0.0000  0.0000  6 N 2.28-2.31
Mo  0.5000  0.5000  0.5000  6 N 2.18
N  0.2224  0.2224  0.2224  3 Pa 2.28
N  0.2366  0.7127  0.7127  1 Mo 2.18, 2 Pa 2.31
N  0.2873  0.2873  0.7634  1 Mo 2.18, 2 Pa 2.31
N  0.2873  0.7634  0.2873  1 Mo 2.18, 2 Pa 2.31
N  0.7127  0.2366  0.7127  1 Mo 2.18, 2 Pa 2.31
N  0.7127  0.7127  0.2366  1 Mo 2.18, 2 Pa 2.31
N  0.7634  0.2873  0.2873  1 Mo 2.18, 2 Pa 2.31
N  0.7776  0.7776  0.7776  3 Pa 2.28



Here is a geometry-optimized BiSb3Ir structure from the Alexandria database. Energies are from PBE.

Output
For the total DFT energy (no corrections), the calculation gives -4.634 eV/atom. The uncorrected formation energy comes out at 0.3880 eV/atom. The crystal system is cubic. The calculation puts the density of states at the Fermi level at 4.7 states/eV/f.u.

Unit cell a=5.2414 b=5.2414 c=5.2414 alpha=90.00 beta=90.00 gamma=90.00
Closest atoms and distances in Å follow each position.
Positions (direct):
Bi  0.0000  0.0000  0.0000  12 Sb 3.71
Sb  0.0000  0.5000  0.5000  2 Ir 2.62
Sb  0.5000  0.0000  0.5000  2 Ir 2.62
Sb  0.5000  0.5000  0.0000  2 Ir 2.62
Ir  0.5000  0.5000  0.5000  6 Sb 2.62



Here is a geometry-optimized Sm3Zn3Pt2 structure from the Alexandria database. Energies are from PBE.

Output
For the total DFT energy (no corrections), the calculation gives -4.511 eV/atom. The crystal system is orthorhombic. The calculation puts the density of states at the Fermi level at 5.5 states/eV/f.u.

Unit cell a=5.6022 b=5.6022 c=15.3088 alpha=90.00 beta=90.00 gamma=133.77
Closest atoms and distances in Å follow each position.
Positions (direct):
Sm  0.0857  0.9143  0.6036  3 Pt 2.99-3.08, 7 Zn 3.09-3.23
Sm  0.0857  0.9143  0.8964  3 Pt 2.99-3.08, 7 Zn 3.09-3.23
Sm  0.3593  0.6407  0.7500  5 Zn 3.00-3.28, 4 Pt 3.16
Sm  0.6407  0.3593  0.2500  5 Zn 3.00-3.28, 4 Pt 3.16
Sm  0.9143  0.0857  0.1036  3 Pt 2.99-3.08, 7 Zn 3.09-3.23
Sm  0.9143  0.0857  0.3964  3 Pt 2.99-3.08, 7 Zn 3.09-3.23
Zn  0.3498  0.6502  0.2500  2 Pt 2.63
Zn  0.3793  0.6207  0.5364  3 Pt 2.61-2.86, 1 Zn 2.73
Zn  0.3793  0.6207  0.9636  3 Pt 2.61-2.86, 1 Zn 2.73
Zn  0.6207  0.3793  0.0364  3 Pt 2.61-2.86, 1 Zn 2.73
Zn  0.6207  0.3793  0.4636  3 Pt 2.61-2.86, 1 Zn 2.73
Zn  0.6502  0.3498  0.7500  2 Pt 2.63
Pt  0.2045  0.7955  0.1085  4 Zn 2.61-2.86
Pt  0.2045  0.7955  0.3915  4 Zn 2.61-2.86
Pt  0.7955  0.2045  0.6085  4 Zn 2.61-2.86
Pt  0.7955  0.2045  0.8915  4 Zn 2.61-2.86



Here is a geometry-optimized Dy6Y2Tm3Mg structure from the Alexandria database. Energies are from PBE.

Output
For the total DFT energy (no corrections), the calculation gives -4.601 eV/atom. The crystal system is monoclinic. The calculation puts the density of states at the Fermi level at 16.7 states/eV/f.u.

Unit cell a=6.0862 b=6.0862 c=11.6225 alpha=95.05 beta=95.05 gamma=120.04
Closest atoms and distances in Å follow each position.
Positions (direct):
Dy  0.0828  0.4155  0.2510  3 Tm 3.50, 6 Dy 3.51-3.52, 1 Mg 3.51, 2 Y 3.52
Dy  0.2501  0.2501  0.7479  3 Tm 3.48-3.49, 6 Dy 3.51-3.52, 2 Y 3.52, 1 Mg 3.53
Dy  0.4155  0.0828  0.2510  3 Tm 3.50, 6 Dy 3.51-3.52, 1 Mg 3.51, 2 Y 3.52
Dy  0.5845  0.9172  0.7490  3 Tm 3.50, 6 Dy 3.51-3.52, 1 Mg 3.51, 2 Y 3.52
Dy  0.7499  0.7499  0.2521  3 Tm 3.48-3.49, 6 Dy 3.51-3.52, 2 Y 3.52, 1 Mg 3.53
Dy  0.9172  0.5845  0.7490  3 Tm 3.50, 6 Dy 3.51-3.52, 1 Mg 3.51, 2 Y 3.52
Y  0.3338  0.6662  0.0000  3 Y 3.51-3.52, 3 Mg 3.51-3.52, 6 Dy 3.52
Y  0.6662  0.3338  0.0000  3 Y 3.51-3.52, 3 Mg 3.51-3.52, 6 Dy 3.52
Tm  0.1661  0.8339  0.5000  6 Dy 3.48-3.50, 6 Tm 3.50-3.52
Tm  0.5000  0.5000  0.5000  6 Dy 3.49-3.50, 6 Tm 3.51-3.52
Tm  0.8339  0.1661  0.5000  6 Dy 3.48-3.50, 6 Tm 3.50-3.52
Mg  0.0000  0.0000  0.0000  6 Y 3.51-3.52, 6 Dy 3.51-3.53



Here is a geometry-optimized GaTe2CN structure from the Alexandria database. Energies are from PBE.

Output
For the total DFT energy (no corrections), the calculation gives -3.485 eV/atom. The uncorrected formation energy comes out at 1.8872 eV/atom. The crystal system is tetragonal. The calculation puts the density of states at the Fermi level at 4.0 states/eV/f.u.

Unit cell a=5.6413 b=5.6413 c=3.4848 alpha=90.00 beta=90.00 gamma=90.00
Closest atoms and distances in Å follow each position.
Positions (direct):
Ga  0.0000  0.0000  0.0000  2 N 1.74
Te  0.0000  0.5000  0.0000  2 Ga 2.82
Te  0.5000  0.0000  0.0000  2 Ga 2.82
C  0.5000  0.5000  0.5000  8 Te 3.32, 2 C 3.48
N  0.0000  0.0000  0.5000  2 Ga 1.74



Here is a geometry-optimized Ca2Hg3Pd structure from the Alexandria database. Energies are from PBE.

Output
For the total DFT energy (no corrections), the calculation gives -2.175 eV/atom. The crystal system is orthorhombic. The calculation puts the density of states at the Fermi level at 3.6 states/eV/f.u.

Unit cell a=9.7284 b=9.1275 c=6.1070 alpha=76.53 beta=65.84 gamma=37.62
Closest atoms and distances in Å follow each position.
Positions (direct):
Ca  0.2457  0.7543  0.7543  2 Pd 3.26, 10 Hg 3.33-3.43, 1 Ca 3.54
Ca  0.2500  0.2500  0.2500  8 Hg 3.29-3.32, 4 Pd 3.38, 2 Ca 3.60
Ca  0.7500  0.7500  0.7500  8 Hg 3.29-3.32, 4 Pd 3.38, 2 Ca 3.60
Ca  0.7543  0.2457  0.2457  2 Pd 3.26, 10 Hg 3.33-3.43, 1 Ca 3.54
Hg  0.1599  0.6678  0.3322  1 Pd 2.75, 2 Hg 2.89-2.90
Hg  0.3272  0.3272  0.6728  1 Pd 2.75, 2 Hg 2.90
Hg  0.3322  0.8401  0.1599  1 Pd 2.75, 2 Hg 2.89-2.90
Hg  0.6678  0.1599  0.8401  1 Pd 2.75, 2 Hg 2.89-2.90
Hg  0.6728  0.6728  0.3272  1 Pd 2.75, 2 Hg 2.90
Hg  0.8401  0.3322  0.6678  1 Pd 2.75, 2 Hg 2.89-2.90
Pd  0.1630  0.1630  0.8370  3 Hg 2.75
Pd  0.8370  0.8370  0.1630  3 Hg 2.75